The following is a DFT calculation (PBE-GGA) of crystalline HfI at its relaxed geometry.

a = 3.552 Å, b = 7.063 Å, c = 14.168 Å
α = 90.00°, β = 90.00°, γ = 90.00°
Sites, in units of the cell vectors:
I 0.500 0.252 0.243
I 0.000 0.424 0.000
I 0.000 0.748 0.257
I 0.000 0.748 0.743
I 0.500 0.252 0.757
I 0.500 0.576 0.500
Hf 0.000 0.043 0.111
Hf 0.000 0.218 0.500
Hf 0.500 0.782 0.000
Hf 0.000 0.043 0.889
Hf 0.500 0.957 0.389
Hf 0.500 0.957 0.611

Magnetic moment: 0.00 μB per cell
Theoretical density: 8.561 g/cm³
VASP energy: -5.975 eV/atom



The following is a DFT calculation (PBE-GGA) of crystalline HfI at its relaxed geometry.

a = 10.586 Å, b = 10.586 Å, c = 3.566 Å
α = 90.00°, β = 90.00°, γ = 120.00°
Sites, in units of the cell vectors:
I 0.963 0.686 0.250
I 0.314 0.277 0.250
I 0.723 0.037 0.250
I 0.686 0.723 0.750
I 0.037 0.314 0.750
I 0.277 0.963 0.750
Hf 0.522 0.145 0.250
Hf 0.145 0.624 0.750
Hf 0.376 0.522 0.750
Hf 0.624 0.478 0.250
Hf 0.855 0.376 0.250
Hf 0.478 0.855 0.750

Magnetic moment: 0.00 μB per cell
Theoretical density: 8.792 g/cm³
VASP energy: -5.796 eV/atom



The following is a DFT calculation (PBE-GGA) of crystalline HfI at its relaxed geometry.

a = 3.690 Å, b = 13.461 Å, c = 6.606 Å
α = 90.00°, β = 90.00°, γ = 90.00°
Sites, in units of the cell vectors:
I 0.500 0.169 0.773
I 0.000 0.500 0.641
I 0.500 0.331 0.273
I 0.000 0.000 0.141
I 0.500 0.831 0.773
I 0.500 0.669 0.273
Hf 0.000 0.325 0.918
Hf 0.000 0.825 0.418
Hf 0.000 0.675 0.918
Hf 0.500 0.500 0.978
Hf 0.500 0.000 0.478
Hf 0.000 0.175 0.418

Magnetic moment: 0.00 μB per cell
Theoretical density: 9.272 g/cm³
VASP energy: -5.702 eV/atom



| no. | formation energy from raw total energies (meV per atom) |
| --- | --- |
| 1 | -223 |
| 2 | -45 |
| 3 | 50 |